1.
! PmHo5Tm5 | Alexandria | GGA-PBE | relaxed; values from VASP
! total magnetic moment = 0.00 μB per cell
! symmetry = No. 2
! uncorrected energy = -48.408 eV per cell
! E_form = 0.144 eV/atom
! energy above the lowest structure with this stoichiometry = 0.000 eV per atom
&SYSTEM
  ibrav = 0, nat = 11, ntyp = 3
/
ATOMIC_SPECIES
Ho 164.93 Ho.upf
Tm 168.93 Tm.upf
Pm 145.00 Pm.upf
CELL_PARAMETERS angstrom
6.622 -0.041 2.014
-4.248 7.848 -3.035
2.849 0.239 7.610
ATOMIC_POSITIONS crystal
Ho 0.145 0.358 0.841
Ho 0.855 0.642 0.159
Ho 0.255 0.344 0.326
Ho 0.500 0.000 0.000
Ho 0.745 0.656 0.674
Tm 0.665 0.320 0.792
Tm 0.682 0.284 0.353
Tm 0.000 0.000 0.500
Tm 0.335 0.680 0.208
Tm 0.318 0.716 0.647
Pm 0.000 0.000 0.000

2.
! Pm2Ho4Tm | Alexandria | GGA-PBE | relaxed; values from VASP
! total magnetic moment = 0.00 μB per cell
! symmetry = No. 64
! uncorrected energy = -124.726 eV per cell
! E_form = 0.157 eV/atom
! energy above the lowest structure with this stoichiometry = 0.019 eV per atom
&SYSTEM
  ibrav = 0, nat = 28, ntyp = 3
/
ATOMIC_SPECIES
Ho 164.93 Ho.upf
Pm 145.00 Pm.upf
Tm 168.93 Tm.upf
CELL_PARAMETERS angstrom
3.722 0.000 0.000
0.000 12.619 0.000
0.000 0.000 19.444
ATOMIC_POSITIONS crystal
Ho 0.500 0.393 0.322
Ho 0.500 0.107 0.822
Ho 0.000 0.607 0.822
Ho 0.000 0.393 0.178
Ho 0.000 0.893 0.322
Ho 0.000 0.732 0.565
Ho 0.000 0.768 0.065
Ho 0.500 0.732 0.935
Ho 0.500 0.232 0.565
Ho 0.000 0.268 0.435
Ho 0.500 0.768 0.435
Ho 0.000 0.232 0.935
Ho 0.500 0.893 0.178
Ho 0.500 0.268 0.065
Ho 0.500 0.607 0.678
Ho 0.000 0.107 0.678
Pm 0.500 0.610 0.169
Pm 0.500 0.890 0.669
Pm 0.500 0.390 0.831
Pm 0.000 0.890 0.831
Pm 0.500 0.110 0.331
Pm 0.000 0.110 0.169
Pm 0.000 0.610 0.331
Pm 0.000 0.390 0.669
Tm 0.000 0.500 0.000
Tm 0.500 0.000 0.000
Tm 0.500 0.500 0.500
Tm 0.000 0.000 0.500

3.
! PmHoTm2 | Alexandria | GGA-PBE | relaxed; values from VASP
! total magnetic moment = 0.00 μB per cell
! symmetry = No. 123
! uncorrected energy = -18.172 eV per cell
! E_form = 0.025 eV/atom
! energy above the lowest structure with this stoichiometry = 0.012 eV per atom
&SYSTEM
  ibrav = 0, nat = 4, ntyp = 3
/
ATOMIC_SPECIES
Tm 168.93 Tm.upf
Ho 164.93 Ho.upf
Pm 145.00 Pm.upf
CELL_PARAMETERS angstrom
4.982 0.000 0.000
0.000 5.011 0.000
0.000 0.000 5.011
ATOMIC_POSITIONS crystal
Tm 0.000 0.000 0.500
Tm 0.000 0.500 0.000
Ho 0.500 0.500 0.500
Pm 0.500 0.000 0.000

4.
! Pm2Ho5Tm5 | Alexandria | GGA-PBE | relaxed; values from VASP
! total magnetic moment = 0.00 μB per cell
! symmetry = No. 12
! uncorrected energy = -54.466 eV per cell
! E_form = 0.024 eV/atom
&SYSTEM
  ibrav = 0, nat = 12, ntyp = 3
/
ATOMIC_SPECIES
Ho 164.93 Ho.upf
Pm 145.00 Pm.upf
Tm 168.93 Tm.upf
CELL_PARAMETERS angstrom
-2.497 -0.177 4.314
-2.615 -7.370 1.068
6.744 -4.825 6.588
ATOMIC_POSITIONS crystal
Ho 0.666 0.667 0.000
Ho 0.585 0.081 0.750
Ho 0.415 0.919 0.250
Ho 0.334 0.333 0.000
Ho 0.500 0.500 0.500
Pm 0.917 0.417 0.749
Pm 0.083 0.583 0.251
Tm 0.000 0.000 0.000
Tm 0.168 0.164 0.500
Tm 0.751 0.248 0.250
Tm 0.249 0.752 0.750
Tm 0.832 0.836 0.500

5.
! PmHoTm2 | Alexandria | GGA-PBE | relaxed; values from VASP
! total magnetic moment = 0.00 μB per cell
! symmetry = No. 160
! uncorrected energy = -18.188 eV per cell
! E_form = 0.021 eV/atom
! energy above the lowest structure with this stoichiometry = 0.008 eV per atom
&SYSTEM
  ibrav = 0, nat = 4, ntyp = 3
/
ATOMIC_SPECIES
Tm 168.93 Tm.upf
Ho 164.93 Ho.upf
Pm 145.00 Pm.upf
CELL_PARAMETERS angstrom
3.559 0.000 0.000
1.779 3.082 0.000
1.779 1.027 11.432
ATOMIC_POSITIONS crystal
Tm 0.251 0.251 0.246
Tm 0.082 0.082 0.754
Ho 0.666 0.666 0.001
Pm 0.501 0.501 0.498

6.
! Pm2Ho8Tm | Alexandria | GGA-PBE | relaxed; values from VASP
! total magnetic moment = 0.00 μB per cell
! symmetry = No. 12
! uncorrected energy = -48.702 eV per cell
! E_form = 0.172 eV/atom
! energy above the lowest structure with this stoichiometry = 0.151 eV per atom
&SYSTEM
  ibrav = 0, nat = 11, ntyp = 3
/
ATOMIC_SPECIES
Tm 168.93 Tm.upf
Pm 145.00 Pm.upf
Ho 164.93 Ho.upf
CELL_PARAMETERS angstrom
5.545 -0.511 -0.357
0.612 9.640 2.482
0.612 5.648 8.197
ATOMIC_POSITIONS crystal
Tm 0.000 0.000 0.000
Pm 0.748 0.284 0.284
Pm 0.252 0.716 0.716
Ho 0.235 0.546 0.546
Ho 0.766 0.816 0.816
Ho 0.266 0.605 0.138
Ho 0.765 0.454 0.454
Ho 0.234 0.184 0.184
Ho 0.734 0.395 0.862
Ho 0.734 0.862 0.395
Ho 0.266 0.138 0.605

7.
! PmHo3Tm5 | Alexandria | GGA-PBE | relaxed; values from VASP
! total magnetic moment = 0.00 μB per cell
! symmetry = No. 74
! uncorrected energy = -79.337 eV per cell
! E_form = 0.130 eV/atom
! energy above the lowest structure with this stoichiometry = 0.000 eV per atom
&SYSTEM
  ibrav = 0, nat = 18, ntyp = 3
/
ATOMIC_SPECIES
Pm 145.00 Pm.upf
Tm 168.93 Tm.upf
Ho 164.93 Ho.upf
CELL_PARAMETERS angstrom
9.156 0.000 0.000
-4.578 9.065 -2.288
0.000 -1.020 7.049
ATOMIC_POSITIONS crystal
Pm 0.299 0.000 0.250
Pm 0.701 0.000 0.750
Tm 0.658 0.000 0.250
Tm 0.517 0.674 0.835
Tm 0.483 0.326 0.661
Tm 0.844 0.326 0.665
Tm 0.156 0.674 0.839
Tm 0.517 0.674 0.339
Tm 0.844 0.326 0.161
Tm 0.483 0.326 0.165
Tm 0.156 0.674 0.335
Tm 0.342 0.000 0.750
Ho 0.190 0.375 0.938
Ho 0.186 0.375 0.438
Ho 0.810 0.625 0.062
Ho 0.000 0.000 0.000
Ho 0.814 0.625 0.562
Ho 0.000 0.000 0.500

8.
! Pm5Ho2Tm4 | Alexandria | GGA-PBE | relaxed; values from VASP
! total magnetic moment = 0.00 μB per cell
! symmetry = No. 71
! uncorrected energy = -48.620 eV per cell
! E_form = 0.198 eV/atom
! energy above the lowest structure with this stoichiometry = 0.067 eV per atom
&SYSTEM
  ibrav = 0, nat = 11, ntyp = 3
/
ATOMIC_SPECIES
Tm 168.93 Tm.upf
Pm 145.00 Pm.upf
Ho 164.93 Ho.upf
CELL_PARAMETERS angstrom
3.506 0.000 0.000
0.000 9.037 0.000
-1.753 -4.519 11.711
ATOMIC_POSITIONS crystal
Tm 0.596 0.596 0.193
Tm 0.000 0.685 0.000
Tm 0.000 0.315 0.000
Tm 0.404 0.404 0.807
Pm 0.145 0.945 0.290
Pm 0.145 0.346 0.290
Pm 0.500 0.000 0.000
Pm 0.855 0.055 0.710
Pm 0.855 0.654 0.710
Ho 0.731 0.731 0.461
Ho 0.269 0.269 0.539